{"formula": "VInPO2", "functional": "PBE+U", "state": "relaxed", "space_group": "P4/mmm", "relative_energy_ev_per_atom": 0.000, "lattice_angstrom": [[3.773, 0.000, 0.000], [0.000, 3.773, 0.000], [0.000, 0.000, 5.182]], "species": ["In", "P", "O", "O", "V"], "fractional_positions": [[0.500, 0.500, 0.500], [0.000, 0.000, 0.500], [0.500, 0.000, 0.000], [0.000, 0.500, 0.000], [0.000, 0.000, 0.000]]}